# BaY4Pt

A relaxed BaY4Pt crystal (PBE, Alexandria).

a b c (Å): 9.1506 9.1506 9.1506
angles (deg): 90.00 90.00 90.00
Space group F-43m (No. 216)
One atom of each set of equivalent atoms:
Ba  0.0000  0.0000  0.0000 x4
Y  0.1236  0.1236  0.3764 x16
Pt  0.2500  0.2500  0.7500 x4

=====

# Ba2Y2Pt

A relaxed Ba2Y2Pt crystal (PBE, Alexandria).

a b c (Å): 7.4914 7.4914 6.4624
angles (deg): 90.00 90.00 90.00
Space group P4/mbm (No. 127)
One atom of each set of equivalent atoms:
Ba  0.1797  0.3203  0.0000 x4
Y  0.1644  0.6644  0.5000 x4
Pt  0.0000  0.0000  0.5000 x2

=====

# BaY3Pt

A relaxed BaY3Pt crystal (PBE, Alexandria).

Relative energy among the computed polymorphs ... 0.0 kJ per mole of atoms

a b c (Å): 5.6180 5.6180 5.6180
angles (deg): 90.00 90.00 90.00
Space group Pm-3m (No. 221)
One atom of each set of equivalent atoms:
Ba  0.0000  0.0000  0.0000 x1
Y  0.0000  0.5000  0.5000 x3
Pt  0.5000  0.5000  0.5000 x1

=====

# Ba2YPt

A relaxed Ba2YPt crystal (PBE, Alexandria).

Relative energy among the computed polymorphs ... 29.0 kJ per mole of atoms

a b c (Å): 4.2612 4.2612 31.8264
angles (deg): 90.00 90.00 120.00
Space group R-3m (No. 166, hexagonal axes)
One atom of each set of equivalent atoms:
Ba  0.0000  0.0000  0.2263 x6
Y  0.0000  0.0000  0.0000 x3
Pt  0.0000  0.0000  0.5000 x3

=====

# BaYPt2

A relaxed BaYPt2 crystal (PBE, Alexandria).

Relative energy among the computed polymorphs ... 7.5 kJ per mole of atoms

a b c (Å): 8.1694 4.7267 6.4263
angles (deg): 90.00 115.16 90.00
Space group C2/m (No. 12)
One atom of each set of equivalent atoms:
Ba  0.0000  0.0000  0.0000 x2
Y  0.0000  0.5000  0.5000 x2
Pt  0.2140  0.0000  0.6427 x4

=====

# BaYPt

A relaxed BaYPt crystal (PBE, Alexandria).

Relative energy among the computed polymorphs ... 13.7 kJ per mole of atoms

a b c (Å): 4.3329 4.3329 6.9289
angles (deg): 90.00 90.00 120.00
Space group P3m1 (No. 156)
One atom of each set of equivalent atoms:
Ba  0.0000  0.0000  0.0000 x1
Y  0.3333  0.6667  0.4671 x1
Pt  0.6667  0.3333  0.2866 x1

=====

# Ba2YPt

A relaxed Ba2YPt crystal (PBE, Alexandria).

Relative energy among the computed polymorphs ... 5.7 kJ per mole of atoms

a b c (Å): 4.3032 6.5217 12.6920
angles (deg): 90.00 90.00 90.00
Space group Amm2 (No. 38)
One atom of each set of equivalent atoms:
Ba  0.0000  0.0000  0.0000 x2
Ba  0.5000  0.0000  0.3321 x2
Y  0.5000  0.0000  0.6463 x2
Pt  0.0000  0.0000  0.5135 x2

=====

# BaY2Pt2

A relaxed BaY2Pt2 crystal (PBE, Alexandria).

Relative energy among the computed polymorphs ... 0.0 kJ per mole of atoms

a b c (Å): 4.8311 4.8311 12.0471
angles (deg): 90.00 90.00 90.00
Space group I4/mmm (No. 139)
One atom of each set of equivalent atoms:
Ba  0.0000  0.0000  0.0000 x2
Y  0.0000  0.5000  0.2500 x4
Pt  0.0000  0.0000  0.3839 x4

=====

Number 1: formation energy 0.4524 eV per atom. Number 2: formation energy -0.2082 eV per atom. Number 3: formation energy -0.4136 eV per atom. Number 4: formation energy -0.1428 eV per atom. Number 5: formation energy -0.8779 eV per atom. Number 6: formation energy -0.6262 eV per atom. Number 7: formation energy -0.3845 eV per atom. Number 8: formation energy -0.8992 eV per atom.